A geometry-optimized CrRe2O8 structure, computed with GGA+U.

Summary:
E: -177.588 eV per cell

a b c (Å): 8.967 9.261 5.405
angles (deg): 90.00 96.68 90.00
Space group C2/m (No. 12)
One atom of each set of equivalent atoms:
Cr (0.000, 0.000, 0.000)
Re (0.224, 0.000, 0.660)
O (0.083, 0.500, 0.273)
O (0.139, 0.145, 0.806)
O (0.171, 0.000, 0.335)